Compound: AcPt3Rh4O12
Source: Alexandria
Functional: PBE-GGA
Structure: optimized geometry

Cell lengths 6.7030, 6.7030, 6.7030 Å; angles 109.47, 109.47, 109.47 degrees
Positions (direct):
Ac (0.0000, 0.0000, 0.0000)
Pt (0.0000, 0.5000, 0.5000)
Pt (0.5000, 0.0000, 0.5000)
Pt (0.5000, 0.5000, 0.0000)
Rh (0.0000, 0.0000, 0.5000)
Rh (0.0000, 0.5000, 0.0000)
Rh (0.5000, 0.0000, 0.0000)
Rh (0.5000, 0.5000, 0.5000)
O (0.1358, 0.8306, 0.3052)
O (0.1694, 0.3052, 0.4746)
O (0.1694, 0.6948, 0.8642)
O (0.3052, 0.1358, 0.8306)
O (0.3052, 0.4746, 0.1694)
O (0.4746, 0.1694, 0.3052)
O (0.5254, 0.8306, 0.6948)
O (0.6948, 0.5254, 0.8306)
O (0.6948, 0.8642, 0.1694)
O (0.8306, 0.3052, 0.1358)
O (0.8306, 0.6948, 0.5254)
O (0.8642, 0.1694, 0.6948)

Computed properties:
Formation energy (no corrections) = -0.95 eV per atom
M_tot = 0.000 Bohr magnetons per cell
Density = 10.1 g/cm³

=====

Compound: Ni2AgPt3
Source: Alexandria
Functional: PBE-GGA
Structure: optimized geometry

Cell lengths 2.7489, 2.7489, 11.5274 Å; angles 90.00, 90.00, 90.00 degrees
Positions (direct):
Ni (0.0000, 0.0000, 0.1563)
Ni (0.0000, 0.0000, 0.8437)
Ag (0.0000, 0.0000, 0.5000)
Pt (0.5000, 0.5000, 0.0000)
Pt (0.5000, 0.5000, 0.3092)
Pt (0.5000, 0.5000, 0.6908)

Computed properties:
E_form = -0.0528 eV per atom
M_tot = 2.233 Bohr magnetons per cell
Density = 15.5 g/cm³

=====

Compound: Tl3VAg3Cl8
Source: Alexandria
Functional: PBE-GGA
Structure: optimized geometry

Cell lengths 8.1621, 8.1621, 8.6894 Å; angles 118.03, 118.03, 59.81 degrees
Positions (direct):
Tl (0.0000, 0.0000, 0.0000)
Tl (0.0000, 0.5000, 0.0000)
Tl (0.5000, 0.0000, 0.0000)
V (0.0000, 0.0000, 0.5000)
Ag (0.0000, 0.5000, 0.5000)
Ag (0.5000, 0.0000, 0.5000)
Ag (0.5000, 0.5000, 0.5000)
Cl (0.2116, 0.2116, 0.6879)
Cl (0.2128, 0.7646, 0.6888)
Cl (0.2354, 0.7872, 0.3112)
Cl (0.2657, 0.2657, 0.2988)
Cl (0.7343, 0.7343, 0.7012)
Cl (0.7646, 0.2128, 0.6888)
Cl (0.7872, 0.2354, 0.3112)
Cl (0.7884, 0.7884, 0.3121)

Computed properties:
Formation energy (no corrections) = -0.79 eV per atom
M_tot = 3.000 Bohr magnetons per cell
Density = 5.0 g/cm³

=====

Compound: MnMo2HRh
Source: Alexandria
Functional: PBE-GGA
Structure: optimized geometry

Cell lengths 3.9379, 3.9379, 3.8296 Å; angles 90.00, 90.00, 90.00 degrees
Positions (direct):
Mn (0.0000, 0.0000, 0.0000)
Mo (0.0000, 0.5000, 0.5000)
Mo (0.5000, 0.0000, 0.5000)
H (0.0000, 0.0000, 0.5000)
Rh (0.5000, 0.5000, 0.0000)

Computed properties:
Polymorph energy (0 for the lowest one) = 0.000 eV/f.u.
M_tot = 0.956 Bohr magnetons per cell
Density = 9.8 g/cm³

=====

Compound: LaNdDy2Ho4
Source: Alexandria
Functional: PBE-GGA
Structure: optimized geometry

Cell lengths 7.1719, 7.1809, 10.0583 Å; angles 90.00, 90.05, 90.00 degrees
Positions (direct):
La (0.0000, 0.0000, 0.0000)
La (0.5000, 0.0000, 0.0000)
Nd (0.0000, 0.0000, 0.5000)
Nd (0.0000, 0.5000, 0.0000)
Dy (0.0000, 0.5000, 0.5000)
Dy (0.5000, 0.0000, 0.5000)
Dy (0.5000, 0.5000, 0.0000)
Dy (0.5000, 0.5000, 0.5000)
Ho (0.2520, 0.2530, 0.2534)
Ho (0.2520, 0.2530, 0.7465)
Ho (0.2520, 0.7470, 0.2534)
Ho (0.2520, 0.7470, 0.7465)
Ho (0.7480, 0.2530, 0.2535)
Ho (0.7480, 0.2530, 0.7466)
Ho (0.7480, 0.7470, 0.2535)
Ho (0.7480, 0.7470, 0.7466)

Computed properties:
E_form = 0.0224 eV per atom
M_tot = 0.000 Bohr magnetons per cell
Density = 8.1 g/cm³

=====

Compound: InGeSb3
Source: Alexandria
Functional: PBE-GGA
Structure: optimized geometry

Cell lengths 5.5652, 5.5652, 5.5652 Å; angles 90.00, 90.00, 90.00 degrees
Positions (direct):
In (0.0000, 0.0000, 0.0000)
Ge (0.5000, 0.5000, 0.5000)
Sb (0.0000, 0.0000, 0.5000)
Sb (0.0000, 0.5000, 0.0000)
Sb (0.5000, 0.0000, 0.0000)

Computed properties:
Polymorph energy (0 for the lowest one) = 2.001 eV/f.u.
Formation energy (no corrections) = 0.93 eV per atom
M_tot = 0.000 Bohr magnetons per cell
Density = 5.3 g/cm³

=====

Compound: InPbCl2
Source: Alexandria
Functional: PBE-GGA
Structure: optimized geometry

Cell lengths 3.5971, 5.8136, 5.8587 Å; angles 90.00, 90.02, 90.00 degrees
Positions (direct):
In (0.0000, 0.0000, 0.0000)
Pb (0.5102, 0.5000, 0.4956)
Cl (0.5058, 0.0000, 0.4405)
Cl (0.5182, 0.5000, 0.9960)

Computed properties:
Polymorph energy (0 for the lowest one) = 0.044 eV/f.u.
Formation energy (no corrections) = -0.70 eV per atom
M_tot = 0.000 Bohr magnetons per cell
Density = 5.3 g/cm³

=====

Compound: Y2SiN
Source: Alexandria
Functional: PBE-GGA
Structure: optimized geometry

Cell lengths 7.2646, 7.2646, 7.2646 Å; angles 28.28, 28.28, 28.28 degrees
Positions (direct):
Y (0.2320, 0.2320, 0.2320)
Y (0.7680, 0.7680, 0.7680)
Si (0.0000, 0.0000, 0.0000)
N (0.5000, 0.5000, 0.5000)

Computed properties:
Polymorph energy (0 for the lowest one) = 0.000 eV/f.u.
Formation energy (no corrections) = -1.06 eV per atom
M_tot = 0.000 Bohr magnetons per cell
Density = 4.8 g/cm³

=====

Compound: KFeN
Source: Alexandria
Functional: PBE-GGA
Structure: optimized geometry

Cell lengths 5.5660, 5.5660, 6.1803 Å; angles 104.56, 104.56, 37.08 degrees
Positions (direct):
K (0.0000, 0.0000, 0.0000)
K (0.2094, 0.2094, 0.6927)
Fe (0.4583, 0.4583, 0.4179)
Fe (0.7660, 0.7660, 0.3077)
N (0.6082, 0.6082, 0.3430)
N (0.9282, 0.9282, 0.4966)

Computed properties:
Polymorph energy (0 for the lowest one) = 0.245 eV/f.u.
Formation energy (no corrections) = 0.04 eV per atom
M_tot = 0.002 Bohr magnetons per cell
Density = 3.3 g/cm³

=====

Compound: PdC3N
Source: Alexandria
Functional: PBE-GGA
Structure: optimized geometry

Cell lengths 3.9668, 3.9668, 3.9668 Å; angles 90.00, 90.00, 90.00 degrees
Positions (direct):
Pd (0.0000, 0.0000, 0.0000)
C (0.0000, 0.0000, 0.5000)
C (0.0000, 0.5000, 0.0000)
C (0.5000, 0.0000, 0.0000)
N (0.5000, 0.5000, 0.5000)

Computed properties:
Polymorph energy (0 for the lowest one) = 3.259 eV/f.u.
Formation energy (no corrections) = 3.73 eV per atom
M_tot = 0.000 Bohr magnetons per cell
Density = 4.2 g/cm³

=====

Compound: Ac4Pd2N
Source: Alexandria
Functional: PBE-GGA
Structure: optimized geometry

Cell lengths 8.5134, 8.5134, 8.5134 Å; angles 144.16, 144.16, 51.58 degrees
Positions (direct):
Ac (0.0000, 0.5000, 0.5000)
Ac (0.1836, 0.1836, 0.0000)
Ac (0.5000, 0.0000, 0.5000)
Ac (0.8164, 0.8164, 0.0000)
Pd (0.3752, 0.3752, 0.0000)
Pd (0.6248, 0.6248, 0.0000)
N (0.0000, 0.0000, 0.0000)

Computed properties:
Polymorph energy (0 for the lowest one) = 0.451 eV/f.u.
Formation energy (no corrections) = -0.67 eV per atom
M_tot = 0.000 Bohr magnetons per cell
Density = 9.0 g/cm³

=====

Compound: LaReMo3
Source: Alexandria
Functional: PBE-GGA
Structure: optimized geometry

Cell lengths 4.8544, 4.8544, 4.8544 Å; angles 90.00, 90.00, 90.00 degrees
Positions (direct):
La (0.0000, 0.0000, 0.0000)
Re (0.5000, 0.5000, 0.5000)
Mo (0.0000, 0.5000, 0.5000)
Mo (0.5000, 0.0000, 0.5000)
Mo (0.5000, 0.5000, 0.0000)

Computed properties:
E_form = 1.0380 eV per atom
Polymorph energy (0 for the lowest one) = 0.000 eV/f.u.
M_tot = 2.054 Bohr magnetons per cell
Density = 8.9 g/cm³